1.
Entry from Alexandria via LeMat-Bulk: a geometry-optimized Nd2Ge3Ir5 structure (GGA-PBE).

extended XYZ file:
```
20
Lattice="2.125 -12.287 0.000 2.125 12.287 0.000 0.000 0.000 6.876" Properties=species:S:1:pos:R:3 pbc="T T T"
Nd 2.125 11.727 3.438
Nd 2.125 4.318 3.337
Nd 2.125 -4.318 6.775
Nd 2.125 -11.727 0.000
Ge 2.125 9.556 5.369
Ge 2.125 5.736 6.686
Ge 2.125 1.175 4.817
Ge 2.125 -1.175 1.379
Ge 2.125 -5.736 3.248
Ge 2.125 -9.556 1.931
Ir 2.125 9.802 1.104
Ir 2.125 7.218 4.600
Ir 2.125 7.164 1.870
Ir 2.125 3.280 6.432
Ir 2.125 1.400 2.288
Ir 2.125 -1.400 5.726
Ir 2.125 -3.280 2.994
Ir 2.125 -7.164 5.308
Ir 2.125 -7.218 1.162
Ir 2.125 -9.802 4.542
```

Output
- E above lowest polymorph (eV per atom) = 0.000
- crystal system = orthorhombic
- space-group type = Cmc2_1 (36)
- calculated formation energy (meV/atom) = -504



2.
Entry from Alexandria via LeMat-Bulk: a geometry-optimized LaEr5Th2 structure (GGA-PBE).

extended XYZ file:
```
8
Lattice="-1.768 5.593 6.590 1.768 -5.593 6.590 1.768 5.593 -6.590" Properties=species:S:1:pos:R:3 pbc="T T T"
La 0.000 0.000 0.000
Er 1.768 3.066 -1.748
Er 1.768 3.066 1.748
Er 0.000 5.593 0.000
Er 0.000 2.527 4.843
Er 0.000 2.527 8.338
Th 1.768 0.000 3.135
Th 0.000 5.593 3.455
```

Output
- crystal system = orthorhombic
- space-group type = Immm (71)
- calculated formation energy (meV/atom) = 87



3.
Entry from Alexandria via LeMat-Bulk: a geometry-optimized LiFe2PtAu structure (GGA-PBE).

extended XYZ file:
```
5
Lattice="4.718 0.000 0.000 0.000 4.718 0.000 0.000 0.000 5.199" Properties=species:S:1:pos:R:3 pbc="T T T"
Li 0.000 0.000 0.000
Fe 0.000 2.359 2.599
Fe 2.359 0.000 2.599
Pt 2.359 2.359 2.599
Au 2.359 2.359 0.000
```

Output
- crystal system = tetragonal
- space-group type = P4/mmm (123)
- calculated formation energy (meV/atom) = 714